The following is a GGA-PBE calculation of a relaxed Y3ErSc2Te6 crystal, from Alexandria.

It has space group C2/m (No. 12), with a = 18.723 Å, b = 4.283 Å, c = 8.615 Å, α = 90.00°, β = 103.50° and γ = 90.00°. The asymmetric unit holds Y at (0.000, 0.000, 0.000), Y at (0.163, 0.500, 0.329), Er at (0.000, 0.000, 0.500), Sc at (0.167, 0.500, 0.834), Te at (0.005, 0.500, 0.750), Te at (0.168, 0.000, 0.593) and Te at (0.170, 0.000, 0.074).

The magnetization is 0.0 μB per formula unit. Its density of states at the Fermi level is 0.605 states/eV per atom. Its raw formation energy is -1.22 eV per atom. For the volume, the calculation gives 27.99 Å³ per atom.